(1)
LaSmYLu: optimized geometry, PBE.

The structure belongs to space group F-43m (No. 216); the cell edges are 8.1253, 8.1253 and 8.1253 Å and the angles 90.00°, 90.00° and 90.00°. The inequivalent atoms are La at (0.0000, 0.0000, 0.0000), Sm at (0.0000, 0.0000, 0.5000), Y at (0.2500, 0.2500, 0.7500) and Lu at (0.2500, 0.2500, 0.2500).

Its formation energy is 0.3 eV per formula unit. The density of states at the Fermi level is 6.58 states/eV/f.u.

=====

(2)
Er2BHRh6: optimized geometry, PBE.

The structure belongs to space group I4/mmm (No. 139); the cell edges are 5.8378, 5.8378 and 8.2127 Å and the angles 90.00°, 90.00° and 90.00°. The inequivalent atoms are Er at (0.0000, 0.5000, 0.2500), B at (0.0000, 0.0000, 0.0000), H at (0.0000, 0.0000, 0.5000), Rh at (0.0000, 0.0000, 0.2554) and Rh at (0.2451, 0.2451, 0.5000).

The calculation puts the uncorrected energy at -7.063 eV per atom. The density of states at the Fermi level is 6.50 states/eV/f.u.

=====

(3)
BaNi2BiIr: optimized geometry, PBE.

The structure belongs to space group P4/mmm (No. 123); the cell edges are 4.9287, 4.9287 and 5.1499 Å and the angles 90.00°, 90.00° and 90.00°. The inequivalent atoms are Ba at (0.0000, 0.0000, 0.0000), Ni at (0.0000, 0.5000, 0.5000), Bi at (0.5000, 0.5000, 0.0000) and Ir at (0.5000, 0.5000, 0.5000).

Its formation energy is 1.8 eV per formula unit. The density of states at the Fermi level is 6.65 states/eV/f.u.